Record 1
The following is a PBE calculation of an optimized crystal structure of BeSbPb2, from Alexandria via LeMat-Bulk.

Cell and atoms, written as CIF:
```
data_BeSbPb2
_symmetry_space_group_name_H-M 'P 1'
_symmetry_Int_Tables_number 1
_cell_length_a 4.172
_cell_length_b 4.172
_cell_length_c 7.224
_cell_angle_alpha 73.17
_cell_angle_beta 73.17
_cell_angle_gamma 61.48
loop_
_symmetry_equiv_pos_as_xyz
'x,y,z'
loop_
_atom_site_label
_atom_site_fract_x
_atom_site_fract_y
_atom_site_fract_z
_atom_site_occupancy
Pb1 0.985 0.985 0.052 1
Pb2 0.515 0.515 0.448 1
Sb1 0.750 0.750 0.750 1
Be1 0.250 0.250 0.250 1
```

Computed properties:
Formation energy from raw total energies, kJ/mol of atoms: 40.06
Space group: C2/m (12)
E above lowest polymorph, eV/f.u.: 0.84



Record 2
The following is a PBE calculation of an optimized crystal structure of BeSb2Pb, from Alexandria via LeMat-Bulk.

Cell and atoms, written as CIF:
```
data_BeSb2Pb
_symmetry_space_group_name_H-M 'P 1'
_symmetry_Int_Tables_number 1
_cell_length_a 5.036
_cell_length_b 5.036
_cell_length_c 4.096
_cell_angle_alpha 90.00
_cell_angle_beta 90.00
_cell_angle_gamma 101.86
loop_
_symmetry_equiv_pos_as_xyz
'x,y,z'
loop_
_atom_site_label
_atom_site_fract_x
_atom_site_fract_y
_atom_site_fract_z
_atom_site_occupancy
Pb1 0.000 0.500 0.500 1
Sb1 0.000 0.000 0.000 1
Sb2 0.500 0.500 0.000 1
Be1 0.500 0.000 0.500 1
```

Computed properties:
Formation energy from raw total energies, kJ/mol of atoms: 55.31
Space group: Cmmm (65)
E above lowest polymorph, eV/f.u.: 1.80



Record 3
The following is a PBE calculation of an optimized crystal structure of BeSbPb2, from Alexandria via LeMat-Bulk.

Cell and atoms, written as CIF:
```
data_BeSbPb2
_symmetry_space_group_name_H-M 'P 1'
_symmetry_Int_Tables_number 1
_cell_length_a 3.329
_cell_length_b 3.329
_cell_length_c 9.250
_cell_angle_alpha 90.00
_cell_angle_beta 90.00
_cell_angle_gamma 99.54
loop_
_symmetry_equiv_pos_as_xyz
'x,y,z'
loop_
_atom_site_label
_atom_site_fract_x
_atom_site_fract_y
_atom_site_fract_z
_atom_site_occupancy
Pb1 0.000 0.000 0.948 1
Pb2 0.000 0.000 0.552 1
Sb1 0.500 0.500 0.250 1
Be1 0.500 0.500 0.750 1
```

Computed properties:
Formation energy from raw total energies, kJ/mol of atoms: 42.27
Space group: Cmmm (65)
E above lowest polymorph, eV/f.u.: 0.93



Record 4
The following is a PBE calculation of an optimized crystal structure of BeSb2Pb, from Alexandria via LeMat-Bulk.

Cell and atoms, written as CIF:
```
data_BeSb2Pb
_symmetry_space_group_name_H-M 'P 1'
_symmetry_Int_Tables_number 1
_cell_length_a 4.265
_cell_length_b 4.265
_cell_length_c 7.346
_cell_angle_alpha 78.39
_cell_angle_beta 78.39
_cell_angle_gamma 54.11
loop_
_symmetry_equiv_pos_as_xyz
'x,y,z'
loop_
_atom_site_label
_atom_site_fract_x
_atom_site_fract_y
_atom_site_fract_z
_atom_site_occupancy
Pb1 0.212 0.212 0.241 1
Sb1 0.965 0.965 0.951 1
Sb2 0.830 0.830 0.591 1
Be1 0.493 0.493 0.717 1
```

Computed properties:
Formation energy from raw total energies, kJ/mol of atoms: 20.07
Space group: Cm (8)
E above lowest polymorph, eV/f.u.: 0.34



Record 5
The following is a PBE calculation of an optimized crystal structure of BeSbPb2, from Alexandria via LeMat-Bulk.

Cell and atoms, written as CIF:
```
data_BeSbPb2
_symmetry_space_group_name_H-M 'P 1'
_symmetry_Int_Tables_number 1
_cell_length_a 4.105
_cell_length_b 3.382
_cell_length_c 7.856
_cell_angle_alpha 72.12
_cell_angle_beta 90.00
_cell_angle_gamma 90.00
loop_
_symmetry_equiv_pos_as_xyz
'x,y,z'
loop_
_atom_site_label
_atom_site_fract_x
_atom_site_fract_y
_atom_site_fract_z
_atom_site_occupancy
Pb1 0.000 0.884 0.959 1
Pb2 0.000 0.616 0.541 1
Sb1 0.500 0.250 0.250 1
Be1 0.500 0.750 0.750 1
```

Computed properties:
Formation energy from raw total energies, kJ/mol of atoms: 45.26
Space group: P2/m (10)
E above lowest polymorph, eV/f.u.: 1.05



Record 6
The following is a PBE calculation of an optimized crystal structure of BeSbPb, from Alexandria via LeMat-Bulk.

Cell and atoms, written as CIF:
```
data_BeSbPb
_symmetry_space_group_name_H-M 'P 1'
_symmetry_Int_Tables_number 1
_cell_length_a 4.060
_cell_length_b 4.060
_cell_length_c 5.181
_cell_angle_alpha 90.00
_cell_angle_beta 90.00
_cell_angle_gamma 120.00
loop_
_symmetry_equiv_pos_as_xyz
'x,y,z'
loop_
_atom_site_label
_atom_site_fract_x
_atom_site_fract_y
_atom_site_fract_z
_atom_site_occupancy
Pb1 0.667 0.333 0.285 1
Sb1 0.333 0.667 0.791 1
Be1 0.000 0.000 0.924 1
```

Computed properties:
Formation energy from raw total energies, kJ/mol of atoms: 19.29
Space group: P3m1 (156)
E above lowest polymorph, eV/f.u.: 0.00



Record 7
The following is a PBE calculation of an optimized crystal structure of BeSb2Pb, from Alexandria via LeMat-Bulk.

Cell and atoms, written as CIF:
```
data_BeSb2Pb
_symmetry_space_group_name_H-M 'P 1'
_symmetry_Int_Tables_number 1
_cell_length_a 3.222
_cell_length_b 3.222
_cell_length_c 9.499
_cell_angle_alpha 90.00
_cell_angle_beta 90.00
_cell_angle_gamma 90.00
loop_
_symmetry_equiv_pos_as_xyz
'x,y,z'
loop_
_atom_site_label
_atom_site_fract_x
_atom_site_fract_y
_atom_site_fract_z
_atom_site_occupancy
Pb1 0.500 0.500 0.696 1
Sb1 0.000 0.000 0.997 1
Sb2 0.500 0.500 0.322 1
Be1 0.000 0.000 0.485 1
```

Computed properties:
Formation energy from raw total energies, kJ/mol of atoms: 41.16
Space group: P4mm (99)
E above lowest polymorph, eV/f.u.: 1.21



Record 8
The following is a PBE calculation of an optimized crystal structure of BeSb2Pb2, from Alexandria via LeMat-Bulk.

Cell and atoms, written as CIF:
```
data_BeSb2Pb2
_symmetry_space_group_name_H-M 'P 1'
_symmetry_Int_Tables_number 1
_cell_length_a 6.757
_cell_length_b 6.757
_cell_length_c 6.030
_cell_angle_alpha 90.00
_cell_angle_beta 90.00
_cell_angle_gamma 90.00
loop_
_symmetry_equiv_pos_as_xyz
'x,y,z'
loop_
_atom_site_label
_atom_site_fract_x
_atom_site_fract_y
_atom_site_fract_z
_atom_site_occupancy
Pb1 0.219 0.719 0.500 1
Pb2 0.719 0.781 0.500 1
Pb3 0.781 0.281 0.500 1
Pb4 0.281 0.219 0.500 1
Sb1 0.347 0.847 0.000 1
Sb2 0.847 0.653 0.000 1
Sb3 0.653 0.153 0.000 1
Sb4 0.153 0.347 0.000 1
Be1 0.000 0.000 0.000 1
Be2 0.500 0.500 0.000 1
```

Computed properties:
Formation energy from raw total energies, kJ/mol of atoms: 21.40
Space group: P4/mbm (127)



Number 1: total DFT energy (no corrections) -3.4012 eV/atom. Number 2: total DFT energy (no corrections) -3.3466 eV/atom. Number 3: total DFT energy (no corrections) -3.3782 eV/atom. Number 4: total DFT energy (no corrections) -3.7118 eV/atom. Number 5: total DFT energy (no corrections) -3.3473 eV/atom. Number 6: total DFT energy (no corrections) -3.6524 eV/atom. Number 7: total DFT energy (no corrections) -3.4932 eV/atom. Number 8: total DFT energy (no corrections) -3.6557 eV/atom.